A plane-wave DFT calculation with PBEsol was carried out for a geometry-optimized CsGeSO2 structure.

a = 4.1250 Å, b = 4.1250 Å, c = 9.7505 Å
α = 90.00°, β = 90.00°, γ = 90.00°
Fractional coordinates of all 5 atoms:
O (0.0000, 0.5000, 0.0000)
O (0.5000, 0.0000, 0.0000)
Cs (0.0000, 0.0000, 0.0000)
Ge (0.0000, 0.0000, 0.5000)
S (0.5000, 0.5000, 0.5000)

- DFT total energy (eV per atom) = -3.436
- formation energy (no corrections) (eV per formula unit) = 3.58